<w>
MgHgS2Cl (PBE, relaxed); DOS at the Fermi energy = 3.016 states/eV/f.u.; calculated volume = 129.7 Å³/f.u.
1.0
5.001 0.000 0.000
0.000 5.001 0.000
0.000 0.000 5.185
Mg Hg S Cl
1 1 2 1
direct
0.000 0.000 0.000 Mg
0.500 0.500 0.500 Hg
0.000 0.500 0.500 S
0.500 0.000 0.500 S
0.500 0.500 0.000 Cl

<x>
MgHgS2Cl (PBE, relaxed); DOS at the Fermi energy = 5.755 states/eV/f.u.; calculated volume = 116.3 Å³/f.u.
1.0
4.967 0.000 0.000
0.000 4.967 0.000
0.000 0.000 4.716
Mg Hg S Cl
1 1 2 1
direct
0.000 0.000 0.000 Mg
0.500 0.500 0.500 Hg
0.000 0.500 0.000 S
0.500 0.000 0.000 S
0.000 0.000 0.500 Cl

Most stable of them? <x>.

<w>
MnHgCl2 (PBE, relaxed); DOS at the Fermi energy = 1.434 states/eV/f.u.; calculated volume = 143.5 Å³/f.u.
1.0
1.964 1.134 10.733
-1.964 1.134 10.733
0.000 -2.268 10.733
Mn Hg Cl
1 1 2
direct
0.000 0.000 0.000 Mn
0.500 0.500 0.500 Hg
0.067 0.067 0.067 Cl
0.933 0.933 0.933 Cl

<x>
MnHgCl2 (PBE, relaxed); calculated volume = 87.8 Å³/f.u.
1.0
0.000 3.528 3.528
3.528 0.000 3.528
3.528 3.528 0.000
Mn Hg Cl
1 1 2
direct
0.000 0.000 0.000 Mn
0.750 0.750 0.750 Hg
0.250 0.250 0.250 Cl
0.500 0.500 0.500 Cl

Most stable of them? <w>.

<w>
MnHgCl2 (PBE, relaxed); DOS at the Fermi energy = 1.259 states/eV/f.u.; calculated volume = 90.0 Å³/f.u.
1.0
3.328 0.000 0.000
0.000 3.328 0.000
0.000 0.000 8.126
Mn Hg Cl
1 1 2
direct
0.000 0.000 0.000 Mn
0.500 0.500 0.748 Hg
0.000 0.000 0.540 Cl
0.500 0.500 0.160 Cl

<x>
MnHgCl2 (PBE, relaxed); DOS at the Fermi energy = 1.463 states/eV/f.u.; calculated volume = 105.4 Å³/f.u.
1.0
1.840 -3.244 0.000
1.840 3.244 0.000
0.000 0.000 8.830
Mn Hg Cl
1 1 2
direct
0.000 0.000 0.000 Mn
0.500 0.500 0.238 Hg
0.000 0.000 0.448 Cl
0.500 0.500 0.827 Cl

<y>
MnHgCl2 (PBE, relaxed); DOS at the Fermi energy = 2.163 states/eV/f.u.; calculated volume = 90.6 Å³/f.u.
1.0
-2.059 2.059 5.340
2.059 -2.059 5.340
2.059 2.059 -5.340
Mn Hg Cl
1 1 2
direct
0.000 0.000 0.000 Mn
0.750 0.250 0.500 Hg
0.250 0.750 0.500 Cl
0.500 0.500 0.000 Cl

<z>
MnHgCl2 (PBE, relaxed); DOS at the Fermi energy = 1.226 states/eV/f.u.; calculated volume = 103.2 Å³/f.u.
1.0
3.911 -3.932 0.000
3.911 3.932 0.000
-0.244 0.000 3.356
Mn Hg Cl
1 1 2
direct
0.000 0.000 0.000 Mn
0.500 0.500 0.000 Hg
0.000 0.500 0.000 Cl
0.500 0.000 0.000 Cl

Most stable of them? <x>.

<w>
MnHgCl2 (PBE, relaxed); DOS at the Fermi energy = 1.474 states/eV/f.u.; calculated volume = 89.7 Å³/f.u.
1.0
4.751 0.000 0.000
0.000 4.751 0.000
0.000 0.000 3.974
Mn Hg Cl
1 1 2
direct
0.000 0.000 0.000 Mn
0.500 0.500 0.000 Hg
0.000 0.500 0.500 Cl
0.500 0.000 0.500 Cl

<x>
MnHgCl2 (PBE, relaxed); DOS at the Fermi energy = 0.125 states/eV/f.u.; calculated volume = 131.9 Å³/f.u.
1.0
4.091 0.000 0.000
0.000 3.477 0.000
-1.707 0.000 9.269
Mn Hg Cl
1 1 2
direct
0.000 0.000 0.000 Mn
0.500 0.000 0.500 Hg
0.156 0.500 0.846 Cl
0.844 0.500 0.154 Cl

<y>
MnHgCl2 (PBE, relaxed); DOS at the Fermi energy = 0.001 states/eV/f.u.; calculated volume = 89.7 Å³/f.u.
1.0
0.000 3.553 3.553
3.553 0.000 3.553
3.553 3.553 0.000
Mn Hg Cl
1 1 2
direct
0.000 0.000 0.000 Mn
0.500 0.500 0.500 Hg
0.250 0.250 0.250 Cl
0.750 0.750 0.750 Cl

Most stable of them? <x>.

<w>
MnHgCl2 (PBE, relaxed); calculated volume = 121.5 Å³/f.u.
1.0
5.739 0.000 0.000
0.000 3.630 0.000
-2.277 0.000 5.834
Mn Hg Cl
1 1 2
direct
0.000 0.000 0.000 Mn
0.694 0.500 0.158 Hg
0.007 0.500 0.750 Cl
0.352 0.000 0.324 Cl

<x>
MnHgCl2 (PBE, relaxed); calculated volume = 118.3 Å³/f.u.
1.0
3.197 -1.845 0.000
3.197 1.845 0.000
-1.851 0.000 10.024
Mn Hg Cl
1 1 2
direct
0.000 0.000 0.000 Mn
0.500 0.500 0.500 Hg
0.293 0.293 0.861 Cl
0.707 0.707 0.139 Cl

<y>
MnHgCl2 (PBE, relaxed); DOS at the Fermi energy = 2.501 states/eV/f.u.; calculated volume = 92.1 Å³/f.u.
1.0
3.929 0.000 0.000
0.000 4.129 0.000
0.000 0.000 5.674
Mn Hg Cl
1 1 2
direct
0.000 0.000 0.000 Mn
0.500 0.000 0.500 Hg
0.000 0.500 0.500 Cl
0.500 0.500 0.000 Cl

Most stable of them? <x>.

<w>
MnHgCl2 (PBE, relaxed); calculated volume = 136.1 Å³/f.u.
1.0
6.738 -1.762 0.000
6.738 1.762 0.000
-2.631 0.000 5.733
Mn Hg Cl
1 1 2
direct
0.000 0.000 0.000 Mn
0.833 0.833 0.160 Hg
0.426 0.426 0.709 Cl
0.613 0.613 0.260 Cl

<x>
MnHgCl2 (PBE, relaxed); DOS at the Fermi energy = 0.403 states/eV/f.u.; calculated volume = 102.6 Å³/f.u.
1.0
3.226 0.000 0.000
0.000 3.226 0.000
0.000 0.000 9.857
Mn Hg Cl
1 1 2
direct
0.000 0.000 0.000 Mn
0.000 0.000 0.500 Hg
0.500 0.500 0.154 Cl
0.500 0.500 0.846 Cl

Most stable of them? <w>.